(1)
This record from Alexandria describes Y4Cd3Os after structural relaxation. The functional is PBE.

Values from the calculation:
As for the formation enthalpy at 0 K: -0.315 eV/atom. The magnetic moment comes out at 0.39 Bohr magnetons per cell.

CIF file:
```
data_Y4Cd3Os
_cell_length_a 3.534
_cell_length_b 3.534
_cell_length_c 15.822
_cell_angle_alpha 90.00
_cell_angle_beta 90.00
_cell_angle_gamma 90.00
_space_group_name_H-M_alt 'P 4/m m m'
_space_group_IT_number 123
_space_group_name_Hall '-P 4 2'
loop_
_atom_site_label
_atom_site_type_symbol
_atom_site_fract_x
_atom_site_fract_y
_atom_site_fract_z
Y1 Y 0.000 0.000 0.103
Y2 Y 0.000 0.000 0.369
Cd1 Cd 0.500 0.500 0.241
Cd2 Cd 0.500 0.500 0.500
Os1 Os 0.500 0.500 0.000
```



(2)
This record from Alexandria describes SrTe2Se after structural relaxation. The functional is PBE.

Values from the calculation:
For the formation energy (no corrections), the calculation gives -0.72 eV per atom. The magnetic moment comes out at 0.00 Bohr magnetons per cell.

CIF file:
```
data_SrTe2Se
_cell_length_a 5.5012
_cell_length_b 5.5012
_cell_length_c 16.0764
_cell_angle_alpha 90.00
_cell_angle_beta 90.00
_cell_angle_gamma 120.00
_space_group_name_H-M_alt 'R 3 m'
_space_group_IT_number 160
_space_group_name_Hall 'R 3 -2"'
loop_
_atom_site_label
_atom_site_type_symbol
_atom_site_fract_x
_atom_site_fract_y
_atom_site_fract_z
Sr1 Sr 0.0000 0.0000 0.0000
Te1 Te 0.0000 0.0000 0.4536
Te2 Te 0.0000 0.0000 0.7898
Se1 Se 0.0000 0.0000 0.2933
```



(3)
This record from Alexandria describes Cd3AgAs after structural relaxation. The functional is PBE.

Values from the calculation:
The relative energy among the computed polymorphs is 0.0 meV per atom. As for the formation enthalpy at 0 K: 0.414 eV/atom. The magnetic moment comes out at 0.00 Bohr magnetons per cell.

CIF file:
```
data_Cd3AgAs
_cell_length_a 5.336
_cell_length_b 5.336
_cell_length_c 5.336
_cell_angle_alpha 90.00
_cell_angle_beta 90.00
_cell_angle_gamma 90.00
_space_group_name_H-M_alt 'P m -3 m'
_space_group_IT_number 221
_space_group_name_Hall '-P 4 2 3'
loop_
_atom_site_label
_atom_site_type_symbol
_atom_site_fract_x
_atom_site_fract_y
_atom_site_fract_z
Cd1 Cd 0.000 0.000 0.500
Ag1 Ag 0.500 0.500 0.500
As1 As 0.000 0.000 0.000
```



(4)
This record from Alexandria describes NaIn2Hg2Pb after structural relaxation. The functional is PBE.

Values from the calculation:
As for the formation enthalpy at 0 K: -0.072 eV/atom. The magnetic moment comes out at 0.00 Bohr magnetons per cell.

CIF file:
```
data_NaIn2Hg2Pb
_cell_length_a 4.808
_cell_length_b 9.037
_cell_length_c 7.747
_cell_angle_alpha 90.00
_cell_angle_beta 90.00
_cell_angle_gamma 90.00
_space_group_name_H-M_alt 'P m c 21'
_space_group_IT_number 26
_space_group_name_Hall 'P 2c -2'
loop_
_atom_site_label
_atom_site_type_symbol
_atom_site_fract_x
_atom_site_fract_y
_atom_site_fract_z
Na1 Na 0.000 0.096 0.000
In1 In 0.000 0.269 0.423
In2 In 0.500 0.417 0.089
Hg1 Hg 0.000 0.426 0.815
Hg2 Hg 0.500 0.114 0.277
Pb1 Pb 0.500 0.218 0.692
```



| no. | DOS at the Fermi energy (states/eV/f.u.) | calculated density (g/cm³) |
| --- | --- | --- |
| 1 | 5.6 | 7.42 |
| 2 | 2.2 | 4.99 |
| 3 | 2.1 | 5.68 |
| 4 | 2.7 | 8.49 |